No. 1
{
  "formula": "Sc2FeAg",
  "functional": "PBE-GGA",
  "state": "optimized geometry",
  "lattice_angstrom": [[-0.3829, -0.8249, 3.0012], [3.0218, 0.6833, 0.5734], [1.1938, 7.4186, 2.1915]],
  "species": ["Fe", "Ag", "Sc", "Sc"],
  "frac_coords": [[0.5000, 0.7500, 0.7500], [0.5000, 0.2500, 0.2500], [0.0000, 0.4599, 0.5399], [0.0000, 0.0401, 0.9601]],
  "crystal_system": "orthorhombic",
  "total_energy_ev_per_atom": -6.234,
  "spacegroup": "Pmmm, No. 47"
}

---

No. 2
{
  "formula": "ScFeAg2",
  "functional": "PBE-GGA",
  "state": "optimized geometry",
  "lattice_angstrom": [[4.6079, 0.0000, 0.0000], [2.3039, 3.9905, 0.0000], [2.3039, 1.3302, 3.7623]],
  "species": ["Ag", "Ag", "Fe", "Sc"],
  "frac_coords": [[0.2500, 0.2500, 0.2500], [0.0000, 0.0000, 0.0000], [0.5000, 0.5000, 0.5000], [0.7500, 0.7500, 0.7500]],
  "crystal_system": "cubic",
  "total_energy_ev_per_atom": -4.986,
  "spacegroup": "F-43m, No. 216"
}